w | A relaxed structure of Sc2AlZnC. Source: Alexandria, functional PBE.

- density (Mg/m³) = 3.95
- SG = P4/mmm, No. 123
- V (A^3/atom) = 16.35

The structure in POSCAR format:
```
Sc2AlZnC
1.0
-0.948 -0.927 -4.355
4.253 -1.510 -0.605
-1.144 -3.633 1.023
Sc Zn Al C
2 1 1 1
Cartesian
-0.474 -0.464 -2.178
2.126 -0.755 -0.302
1.080 -3.035 -1.969
-0.572 -1.817 0.511
0.000 0.000 0.000
```


x | A relaxed structure of Sc2AlZnC. Source: Alexandria, functional PBE.

- density (Mg/m³) = 3.87
- SG = P4/mmm, No. 123
- V (A^3/atom) = 16.68

The structure in POSCAR format:
```
Sc2AlZnC
1.0
4.527 0.000 0.000
0.000 4.527 0.000
0.000 0.000 4.068
Sc Al C Zn
2 1 1 1
Cartesian
2.264 0.000 0.000
0.000 2.264 0.000
2.264 2.264 2.034
0.000 0.000 0.000
0.000 0.000 2.034
```


Which is the most stable structure? w is the most stable.


w | A relaxed structure of AlC2Se. Source: Alexandria, functional PBE.

- density (Mg/m³) = 4.10
- SG = I-42d, No. 122
- V (A^3/atom) = 13.16

The structure in POSCAR format:
```
AlC2Se
1.0
-0.799 2.351 3.981
-3.474 -2.972 1.058
0.974 -3.131 4.809
Se Al C
2 2 4
Cartesian
0.000 0.000 0.000
-0.981 -0.545 5.655
-2.136 -0.310 2.519
-2.318 -3.206 4.193
-2.034 -2.326 2.396
-0.902 -2.607 5.506
-0.683 0.295 3.788
-2.978 -2.865 8.007
```


x | A relaxed structure of AlC2Se. Source: Alexandria, functional PBE.

- density (Mg/m³) = 4.76
- SG = Fm-3m, No. 225
- V (A^3/atom) = 11.32

The structure in POSCAR format:
```
AlC2Se
1.0
0.000 2.829 2.829
2.829 0.000 2.829
2.829 2.829 0.000
C Se Al
2 1 1
Cartesian
4.244 4.244 4.244
1.415 1.415 1.415
2.829 2.829 2.829
0.000 0.000 0.000
```


Which is the most stable structure? w is the most stable.


w | A relaxed structure of AlCSe3. Source: Alexandria, functional PBE.

- density (Mg/m³) = 4.01
- SG = Pm-3m, No. 221
- V (A^3/atom) = 22.83

The structure in POSCAR format:
```
AlCSe3
1.0
-1.155 4.200 -2.134
1.775 -1.648 -4.203
-4.364 -1.781 -1.145
C Al Se
1 1 3
Cartesian
-1.872 0.385 -3.741
0.000 0.000 0.000
0.887 -0.824 -2.101
-0.577 2.100 -1.067
-2.182 -0.891 -0.572
```


x | A relaxed structure of AlCSe3. Source: Alexandria, functional PBE.

- density (Mg/m³) = 5.28
- SG = Pm-3m, No. 221
- V (A^3/atom) = 17.35

The structure in POSCAR format:
```
AlCSe3
1.0
4.427 0.000 0.000
0.000 4.427 0.000
0.000 0.000 4.427
Se Al C
3 1 1
Cartesian
0.000 2.213 0.000
2.213 0.000 0.000
0.000 0.000 2.213
2.213 2.213 2.213
0.000 0.000 0.000
```


Which is the most stable structure? x is the most stable.


w | A relaxed structure of Al3CSe. Source: Alexandria, functional PBE.

- density (Mg/m³) = 3.68
- SG = Pm-3m, No. 221
- V (A^3/atom) = 15.51

The structure in POSCAR format:
```
Al3CSe
1.0
4.265 0.000 0.000
0.000 4.265 0.000
0.000 0.000 4.265
Al Se C
3 1 1
Cartesian
0.000 2.132 0.000
2.132 0.000 0.000
0.000 0.000 2.132
2.132 2.132 2.132
0.000 0.000 0.000
```


x | A relaxed structure of Al3CSe. Source: Alexandria, functional PBE.

- density (Mg/m³) = 2.44
- SG = Pm-3m, No. 221
- V (A^3/atom) = 23.39

The structure in POSCAR format:
```
Al3CSe
1.0
4.890 0.000 0.000
0.000 4.890 0.000
0.000 0.000 4.890
C Al Se
1 3 1
Cartesian
2.445 2.445 2.445
0.000 2.445 0.000
2.445 0.000 0.000
0.000 0.000 2.445
0.000 0.000 0.000
```


Which is the most stable structure? w is the most stable.